Compound: LaHo4In4
Source: Alexandria
Functional: PBE-GGA
Structure: relaxed

Summary:
SG = P4_2/nmc, No. 137
electronic total energy = -4.01 eV/atom
total magnetization = 0.000 μB per atom

Structure (CIF):
```
data_LaHo4In4
_chemical_formula_sum 'La2 Ho8 In8'
_cell_length_a 7.308
_cell_length_b 7.308
_cell_length_c 10.506
_cell_angle_alpha 90.00
_cell_angle_beta 90.00
_cell_angle_gamma 90.00
_symmetry_space_group_name_H-M 'P 1'
_symmetry_Int_Tables_number 1
_symmetry_space_group_name_Hall 'P 1'
loop_
_atom_site_label
_atom_site_fract_x
_atom_site_fract_y
_atom_site_fract_z
_atom_site_occupancy
La1 0.250 0.750 0.250 1
La2 0.750 0.250 0.750 1
Ho1 0.014 0.250 0.157 1
Ho2 0.250 0.014 0.657 1
Ho3 0.250 0.486 0.657 1
Ho4 0.486 0.250 0.157 1
Ho5 0.514 0.750 0.843 1
Ho6 0.750 0.514 0.343 1
Ho7 0.750 0.986 0.343 1
Ho8 0.986 0.750 0.843 1
In1 0.043 0.250 0.454 1
In2 0.250 0.043 0.954 1
In3 0.250 0.457 0.954 1
In4 0.457 0.250 0.454 1
In5 0.543 0.750 0.546 1
In6 0.750 0.543 0.046 1
In7 0.750 0.957 0.046 1
In8 0.957 0.750 0.546 1
```